# 1
Compound: NaAg2ICl2
Source: Alexandria via LeMat-Bulk
Functional: PBE
Structure: relaxed

Summary:
formation energy from raw total energies = -0.756 eV/atom
calculated volume = 30.95 Å³ per atom
uncorrected energy = -33.61 eV for the cell shown
symmetry = P2_1/m

a = 4.5795 Å, b = 7.3027 Å, c = 11.1065 Å
α = 90.00°, β = 90.03°, γ = 90.00°
Sites, in units of the cell vectors:
Na 0.2494 0.2500 0.4500
Na 0.7506 0.7500 0.5500
Ag 0.2501 0.7500 0.8155
Ag 0.2517 0.2500 0.8022
Ag 0.7483 0.7500 0.1978
Ag 0.7499 0.2500 0.1845
I 0.2484 0.7500 0.0566
I 0.7516 0.2500 0.9434
Cl 0.2508 0.5160 0.6375
Cl 0.2508 0.9840 0.6375
Cl 0.7492 0.0160 0.3625
Cl 0.7492 0.4840 0.3625

***

# 2
Compound: NpAg3I6Cl2
Source: Alexandria via LeMat-Bulk
Functional: PBE
Structure: relaxed

Summary:
formation energy from raw total energies = -0.483 eV/atom
calculated volume = 35.22 Å³ per atom
uncorrected energy = -40.29 eV for the cell shown
symmetry = C2/m

a = 8.3404 Å, b = 8.3404 Å, c = 7.3563 Å
α = 106.25°, β = 106.25°, γ = 60.82°
Sites, in units of the cell vectors:
Np 0.0000 0.0000 0.0000
Ag 0.0000 0.5000 0.0000
Ag 0.5000 0.0000 0.0000
Ag 0.5000 0.5000 0.5000
I 0.1292 0.1292 0.7507
I 0.1329 0.6352 0.7452
I 0.3648 0.8671 0.2548
I 0.6352 0.1329 0.7452
I 0.8671 0.3648 0.2548
I 0.8708 0.8708 0.2493
Cl 0.3536 0.3536 0.2206
Cl 0.6464 0.6464 0.7794

***

# 3
Compound: NpAg3I2Cl6
Source: Alexandria via LeMat-Bulk
Functional: PBE
Structure: relaxed

Summary:
formation energy from raw total energies = -0.863 eV/atom
calculated volume = 32.56 Å³ per atom
uncorrected energy = -46.03 eV for the cell shown
symmetry = C2/m

a = 8.6591 Å, b = 8.6591 Å, c = 6.4500 Å
α = 101.08°, β = 101.08°, γ = 55.87°
Sites, in units of the cell vectors:
Np 0.0000 0.0000 0.0000
Ag 0.0000 0.5000 0.0000
Ag 0.5000 0.0000 0.0000
Ag 0.5000 0.5000 0.5000
I 0.3249 0.3249 0.2740
I 0.6751 0.6751 0.7260
Cl 0.1222 0.1222 0.7836
Cl 0.1415 0.6929 0.7624
Cl 0.3071 0.8585 0.2376
Cl 0.6929 0.1415 0.7624
Cl 0.8585 0.3071 0.2376
Cl 0.8778 0.8778 0.2164

***

# 4
Compound: Ag6ICl2O
Source: Alexandria via LeMat-Bulk
Functional: PBE
Structure: relaxed

Summary:
formation energy from raw total energies = -0.084 eV/atom
calculated volume = 23.00 Å³ per atom
uncorrected energy = -56.30 eV for the cell shown
symmetry = P2_1/c

a = 7.0044 Å, b = 6.6780 Å, c = 11.8416 Å
α = 90.00°, β = 123.84°, γ = 90.00°
Sites, in units of the cell vectors:
Ag 0.0086 0.2457 0.3537
Ag 0.0086 0.2543 0.8537
Ag 0.2397 0.1243 0.2191
Ag 0.2397 0.3757 0.7191
Ag 0.2554 0.6202 0.4479
Ag 0.2554 0.8798 0.9479
Ag 0.7446 0.1202 0.0521
Ag 0.7446 0.3798 0.5521
Ag 0.7603 0.6243 0.2809
Ag 0.7603 0.8757 0.7809
Ag 0.9914 0.7457 0.1463
Ag 0.9914 0.7543 0.6463
I 0.5000 0.0000 0.5000
I 0.5000 0.5000 0.0000
Cl 0.3683 0.5100 0.2720
Cl 0.3683 0.9900 0.7720
Cl 0.6317 0.0100 0.2280
Cl 0.6317 0.4900 0.7280
O 0.0000 0.0000 0.0000
O 0.0000 0.5000 0.5000

***

# 5
Compound: AgP2ICl
Source: Alexandria via LeMat-Bulk
Functional: PBE
Structure: relaxed

Summary:
formation energy from raw total energies = 0.801 eV/atom
calculated volume = 24.38 Å³ per atom
uncorrected energy = -13.06 eV for the cell shown
symmetry = P4/mmm

a = 4.9883 Å, b = 4.9883 Å, c = 4.8981 Å
α = 90.00°, β = 90.00°, γ = 90.00°
Sites, in units of the cell vectors:
Ag 0.0000 0.0000 0.0000
P 0.0000 0.5000 0.0000
P 0.5000 0.0000 0.0000
I 0.5000 0.5000 0.5000
Cl 0.0000 0.0000 0.5000

***

# 6
Compound: AgPICl2
Source: Alexandria via LeMat-Bulk
Functional: PBE
Structure: relaxed

Summary:
formation energy from raw total energies = 0.730 eV/atom
calculated volume = 31.94 Å³ per atom
uncorrected energy = -9.86 eV for the cell shown
symmetry = P4/mmm

a = 5.5732 Å, b = 5.5732 Å, c = 5.1411 Å
α = 90.00°, β = 90.00°, γ = 90.00°
Sites, in units of the cell vectors:
Ag 0.0000 0.0000 0.0000
P 0.5000 0.5000 0.0000
I 0.5000 0.5000 0.5000
Cl 0.0000 0.5000 0.5000
Cl 0.5000 0.0000 0.5000

***

# 7
Compound: AgPICl2
Source: Alexandria via LeMat-Bulk
Functional: PBE
Structure: relaxed

Summary:
formation energy from raw total energies = 0.391 eV/atom
calculated volume = 25.51 Å³ per atom
uncorrected energy = -11.55 eV for the cell shown
symmetry = P4/mmm

a = 4.7857 Å, b = 4.7857 Å, c = 5.5692 Å
α = 90.00°, β = 90.00°, γ = 90.00°
Sites, in units of the cell vectors:
Ag 0.0000 0.0000 0.0000
P 0.0000 0.0000 0.5000
I 0.5000 0.5000 0.5000
Cl 0.0000 0.5000 0.0000
Cl 0.5000 0.0000 0.0000

***

# 8
Compound: AgP2ICl
Source: Alexandria via LeMat-Bulk
Functional: PBE
Structure: relaxed

Summary:
formation energy from raw total energies = 1.225 eV/atom
calculated volume = 29.99 Å³ per atom
uncorrected energy = -10.94 eV for the cell shown
symmetry = P4/mmm

a = 5.2460 Å, b = 5.2460 Å, c = 5.4490 Å
α = 90.00°, β = 90.00°, γ = 90.00°
Sites, in units of the cell vectors:
Ag 0.0000 0.0000 0.0000
P 0.0000 0.5000 0.5000
P 0.5000 0.0000 0.5000
I 0.5000 0.5000 0.5000
Cl 0.5000 0.5000 0.0000

***

# 9
Compound: AgPbICl2
Source: Alexandria via LeMat-Bulk
Functional: PBE
Structure: relaxed

Summary:
formation energy from raw total energies = -0.751 eV/atom
calculated volume = 33.12 Å³ per atom
uncorrected energy = -31.12 eV for the cell shown
symmetry = P2_1/m

a = 8.2777 Å, b = 4.3415 Å, c = 9.3934 Å
α = 90.00°, β = 101.19°, γ = 90.00°
Sites, in units of the cell vectors:
Ag 0.0451 0.2500 0.4063
Ag 0.9549 0.7500 0.5937
Pb 0.3315 0.2500 0.8251
Pb 0.6685 0.7500 0.1749
I 0.2696 0.7500 0.4842
I 0.7304 0.2500 0.5158
Cl 0.1140 0.7500 0.8652
Cl 0.4138 0.2500 0.1246
Cl 0.5862 0.7500 0.8754
Cl 0.8860 0.2500 0.1348

***

# 10
Compound: AgPb3I2Cl6
Source: Alexandria via LeMat-Bulk
Functional: PBE
Structure: relaxed

Summary:
formation energy from raw total energies = -0.781 eV/atom
calculated volume = 34.87 Å³ per atom
uncorrected energy = -37.53 eV for the cell shown
symmetry = C2/m

a = 8.3861 Å, b = 8.3861 Å, c = 6.8259 Å
α = 95.75°, β = 95.75°, γ = 61.36°
Sites, in units of the cell vectors:
Ag 0.0000 0.0000 0.0000
Pb 0.0000 0.5000 0.0000
Pb 0.5000 0.0000 0.0000
Pb 0.5000 0.5000 0.5000
I 0.3030 0.3030 0.6729
I 0.6970 0.6970 0.3271
Cl 0.1570 0.1570 0.1937
Cl 0.1932 0.6678 0.2301
Cl 0.3322 0.8068 0.7699
Cl 0.6678 0.1932 0.2301
Cl 0.8068 0.3322 0.7699
Cl 0.8430 0.8430 0.8063

***

# 11
Compound: AgPb2ICl4
Source: Alexandria via LeMat-Bulk
Functional: PBE
Structure: relaxed

Summary:
formation energy from raw total energies = -0.858 eV/atom
calculated volume = 31.89 Å³ per atom
uncorrected energy = -26.07 eV for the cell shown
symmetry = C2/m

a = 7.0694 Å, b = 7.0694 Å, c = 10.2595 Å
α = 117.29°, β = 117.29°, γ = 34.57°
Sites, in units of the cell vectors:
Ag 0.0000 0.0000 0.0000
Pb 0.1849 0.1849 0.7636
Pb 0.8151 0.8151 0.2364
I 0.5000 0.5000 0.5000
Cl 0.1729 0.1729 0.2555
Cl 0.3755 0.3755 0.0721
Cl 0.6245 0.6245 0.9279
Cl 0.8271 0.8271 0.7445

***

One value per record, in order, for magnetic moment: 0.00 2.00 1.99 0.00 1.10 0.00 0.00 1.15 0.00 0.00 0.00 μB/cell.